Record 1
DFT (PBE-GGA) results for crystalline HfNbSe2 at its relaxed geometry.

Values from the calculation:
ΔE_f (raw) = -0.642 eV/atom
Offset from the most stable computed form = 0.0000 eV/atom
M_tot = 0.0 Bohr magnetons per cell
DOS at the Fermi energy = 5.2 states/eV per cell
E = -29.6 eV/cell
SG = Fm-3m

```
HfNbSe2
1.0
0.000 3.288 3.288
3.288 0.000 3.288
3.288 3.288 0.000
Se Nb Hf
2 1 1
direct
0.250 0.250 0.250 Se
0.750 0.750 0.750 Se
0.000 0.000 0.000 Nb
0.500 0.500 0.500 Hf
```

Record 2
DFT (PBE-GGA) results for crystalline Hf2NbSe at its relaxed geometry.

Values from the calculation:
ΔE_f (raw) = -0.334 eV/atom
M_tot = 0.0 Bohr magnetons per cell
DOS at the Fermi energy = 3.9 states/eV per cell
E = -34.8 eV/cell
SG = R3m

```
Hf2NbSe
1.0
-2.129 2.469 -0.728
-3.269 -0.634 -0.253
-2.755 2.231 7.958
Se Nb Hf
1 1 2
direct
0.668 0.668 0.997 Se
0.500 0.500 0.501 Nb
0.254 0.254 0.237 Hf
0.078 0.078 0.766 Hf
```

Record 3
DFT (PBE-GGA) results for crystalline HfNbSi2Se at its relaxed geometry.

Values from the calculation:
ΔE_f (raw) = 0.650 eV/atom
M_tot = 0.0 Bohr magnetons per cell
DOS at the Fermi energy = 3.4 states/eV per cell
E = -31.1 eV/cell
SG = P4/mmm

```
HfNbSi2Se
1.0
-1.022 1.934 -4.285
4.309 -1.565 -1.734
-2.053 -4.128 -1.374
Nb Si Hf Se
1 2 1 1
direct
0.000 0.000 0.000 Nb
0.500 0.000 0.000 Si
0.000 0.000 0.500 Si
0.500 0.500 0.500 Hf
0.000 0.500 0.000 Se
```

Record 4
DFT (PBE-GGA) results for crystalline HfNb2Te2Se4 at its relaxed geometry.

Values from the calculation:
ΔE_f (raw) = -0.744 eV/atom
M_tot = 1.3 Bohr magnetons per cell
DOS at the Fermi energy = 7.6 states/eV per cell
E = -57.0 eV/cell
SG = P3m1

```
HfNb2Te2Se4
1.0
3.586 0.000 0.000
-1.793 3.106 0.000
0.000 0.000 21.765
Se Hf Nb Te
4 1 2 2
direct
0.000 0.000 0.583 Se
0.667 0.333 0.048 Se
0.000 0.000 0.734 Se
0.667 0.333 0.896 Se
0.000 0.000 0.329 Hf
0.000 0.000 0.972 Nb
0.667 0.333 0.659 Nb
0.667 0.333 0.420 Te
0.667 0.333 0.237 Te
```